1.
The following is a DFT calculation (PBE) of crystalline Zr2SiSnF at its relaxed geometry.

Cell and atoms, written as CIF:
```
data_Zr2SiSnF
_cell_length_a 4.409
_cell_length_b 4.409
_cell_length_c 4.991
_cell_angle_alpha 90.00
_cell_angle_beta 90.00
_cell_angle_gamma 90.00
_symmetry_space_group_name_H-M 'P 4/m m m'
_symmetry_Int_Tables_number 123
_symmetry_space_group_name_Hall '-P 4 2'
loop_
_atom_site_label
_atom_site_fract_x
_atom_site_fract_y
_atom_site_fract_z
Zr1 0.000 0.500 0.000
Si1 0.000 0.000 0.500
Sn1 0.500 0.500 0.500
F1 0.000 0.000 0.000
```

## Properties
Formation energy from raw total energies   -0.503 eV/atom
Magnetization   0.0 μB/f.u.

=====

2.
The following is a DFT calculation (PBE) of crystalline SrSiF at its relaxed geometry.

Cell and atoms, written as CIF:
```
data_SrSiF
_cell_length_a 3.9752
_cell_length_b 3.9752
_cell_length_c 27.4694
_cell_angle_alpha 90.00
_cell_angle_beta 90.00
_cell_angle_gamma 120.00
_symmetry_space_group_name_H-M 'R 3 m'
_symmetry_Int_Tables_number 160
_symmetry_space_group_name_Hall 'R 3 -2"'
loop_
_atom_site_label
_atom_site_fract_x
_atom_site_fract_y
_atom_site_fract_z
Sr1 0.0000 0.0000 0.0000
Sr2 0.0000 0.0000 0.4644
Si1 0.0000 0.0000 0.2198
Si2 0.0000 0.0000 0.5864
F1 0.0000 0.0000 0.0944
F2 0.0000 0.0000 0.3691
```

## Properties
Formation energy from raw total energies   -2.047 eV/atom
Magnetization   0.0 μB/f.u.
Distance to the lowest polymorph of the same formula   64.1 meV/atom